{"formula": "PmScGe", "functional": "PBE", "state": "relaxed", "lattice_angstrom": [[-1.180, -2.859, 2.718], [4.139, -1.999, -0.306], [-0.743, 3.290, 3.138]], "species": ["Sc", "Pm", "Ge"], "frac_coords": [[0.166, 0.333, 0.667], [0.666, 0.667, 0.333], [0.167, 0.000, 0.000]], "final_energy_ev_per_atom": -5.7602, "formation_energy_ev_per_atom": -0.527, "relative_energy_mev_per_atom": 173.8, "vol_a3_per_atom": 25.229}

{"formula": "CsPa3Ag4O12", "functional": "PBE", "state": "relaxed", "lattice_angstrom": [[-4.715, -4.604, 4.007], [7.105, -0.877, 2.870], [-2.168, 7.281, 1.332]], "species": ["O", "O", "Pa", "Ag", "O", "Pa", "Pa", "O", "Ag", "O", "O", "Ag", "O", "O", "O", "O", "O", "Cs", "O", "Ag"], "frac_coords": [[0.673, 0.500, 0.327], [0.265, 0.376, 0.958], [0.000, 0.558, 0.442], [0.500, 0.945, 0.055], [0.958, 0.265, 0.376], [0.442, 0.000, 0.558], [0.558, 0.442, 0.000], [0.735, 0.042, 0.624], [0.945, 0.055, 0.500], [0.376, 0.958, 0.265], [0.884, 0.500, 0.116], [0.500, 0.500, 0.500], [0.500, 0.327, 0.673], [0.327, 0.673, 0.500], [0.042, 0.624, 0.735], [0.624, 0.735, 0.042], [0.116, 0.884, 0.500], [0.000, 0.000, 0.000], [0.500, 0.116, 0.884], [0.055, 0.500, 0.945]], "final_energy_ev_per_atom": -6.8895, "e_form_raw_ev_per_atom": -1.877, "vol_a3_per_atom": 18.795}

{"formula": "Zr2ScTaN4", "functional": "PBE", "state": "relaxed", "lattice_angstrom": [[-0.738, -2.636, 1.655], [4.547, 0.672, 3.098], [-4.244, 2.683, 2.381]], "species": ["Zr", "N", "Sc", "Zr", "Ta", "N", "N", "N"], "frac_coords": [[0.500, 0.000, 0.500], [0.000, 0.751, 0.239], [0.500, 0.500, 0.000], [0.000, 0.500, 0.500], [0.000, 0.000, 0.000], [0.000, 0.249, 0.761], [0.500, 0.242, 0.235], [0.500, 0.758, 0.765]], "final_energy_ev_per_atom": -10.1558, "e_form_raw_ev_per_atom": -1.583, "vol_a3_per_atom": 11.631}

{"formula": "ThHgPb", "functional": "PBE", "state": "relaxed", "lattice_angstrom": [[4.650, -0.091, 0.701], [0.091, 4.645, -0.005], [1.143, -0.014, 8.103]], "species": ["Pb", "Th", "Hg", "Pb", "Th", "Hg"], "frac_coords": [[0.582, 0.918, 0.343], [0.906, 0.918, 0.698], [0.255, 0.918, 0.998], [0.424, 0.418, 0.661], [0.100, 0.418, 0.306], [0.750, 0.418, 0.006]], "final_energy_ev_per_atom": -4.0359, "formation_energy_ev_per_atom": -0.226, "vol_a3_per_atom": 28.560}

{"formula": "Th3Mn2Fe7", "functional": "PBE", "state": "relaxed", "lattice_angstrom": [[-0.229, 1.307, 4.951], [-3.951, -1.544, 2.877], [2.846, -7.106, 4.660]], "species": ["Fe", "Fe", "Fe", "Mn", "Fe", "Th", "Fe", "Fe", "Mn", "Th", "Th", "Fe"], "frac_coords": [[0.500, 0.500, 0.500], [0.582, 0.083, 0.752], [0.582, 0.582, 0.752], [0.667, 0.667, 0.998], [0.083, 0.582, 0.752], [0.139, 0.139, 0.582], [0.917, 0.418, 0.248], [0.418, 0.917, 0.248], [0.333, 0.333, 0.002], [0.000, 0.000, 0.000], [0.861, 0.861, 0.418], [0.418, 0.418, 0.248]], "final_energy_ev_per_atom": -8.3419, "formation_energy_ev_per_atom": -0.022, "vol_a3_per_atom": 16.037}

{"formula": "PmBS2O8", "functional": "PBE", "state": "relaxed", "lattice_angstrom": [[-4.834, -3.016, 0.434], [-1.480, -3.636, -4.125], [0.864, -6.796, 0.009]], "species": ["O", "O", "O", "O", "S", "O", "Pm", "O", "O", "O", "B", "S"], "frac_coords": [[0.341, 0.410, 0.908], [0.155, 0.003, 0.271], [0.570, 0.003, 0.271], [0.860, 0.569, 0.711], [0.298, 0.222, 0.182], [0.845, 0.997, 0.729], [0.500, 0.500, 0.500], [0.659, 0.590, 0.092], [0.430, 0.997, 0.729], [0.140, 0.431, 0.289], [0.000, 0.000, 0.000], [0.702, 0.778, 0.818]], "final_energy_ev_per_atom": -6.2886, "e_form_raw_ev_per_atom": -1.343, "vol_a3_per_atom": 12.675}

{"formula": "CsPu2NpO8", "functional": "PBE", "state": "relaxed", "lattice_angstrom": [[-4.573, 2.561, 0.375], [-2.502, -4.222, 1.860], [1.557, 2.173, 8.069]], "species": ["O", "O", "O", "Pu", "O", "O", "O", "Pu", "Np", "Cs", "O", "O"], "frac_coords": [[0.803, 0.180, 0.171], [0.677, 0.683, 0.005], [0.323, 0.317, 0.995], [0.485, 0.487, 0.803], [0.824, 0.206, 0.828], [0.197, 0.820, 0.829], [0.370, 0.357, 0.376], [0.515, 0.513, 0.197], [0.000, 0.000, 0.000], [0.000, 0.000, 0.500], [0.630, 0.643, 0.624], [0.176, 0.794, 0.172]], "final_energy_ev_per_atom": -9.4423, "e_form_raw_ev_per_atom": -2.599, "vol_a3_per_atom": 19.484}

{"formula": "YPSe2", "functional": "PBE", "state": "relaxed", "lattice_angstrom": [[-3.483, 1.003, -0.448], [-0.619, -3.103, -2.131], [-2.137, -4.759, 5.952]], "species": ["P", "Y", "Se", "Se"], "frac_coords": [[0.500, 0.812, 0.202], [0.000, 0.747, 0.499], [0.500, 0.211, 0.637], [0.000, 0.230, 0.161]], "final_energy_ev_per_atom": -5.6481, "e_form_raw_ev_per_atom": -0.937, "vol_a3_per_atom": 27.391}

{"formula": "VBP2C", "functional": "PBE", "state": "relaxed", "lattice_angstrom": [[-1.703, -0.833, -4.050], [-0.731, -3.821, 1.094], [-4.055, 1.194, 1.459]], "species": ["P", "B", "V", "P", "C"], "frac_coords": [[0.500, 0.000, 0.000], [0.000, 0.500, 0.000], [0.000, 0.000, 0.000], [0.000, 0.000, 0.500], [0.500, 0.500, 0.500]], "final_energy_ev_per_atom": -5.2741, "formation_energy_ev_per_atom": 1.894, "vol_a3_per_atom": 16.162}

{"formula": "NiRh2", "functional": "PBE", "state": "relaxed", "lattice_angstrom": [[-0.911, 0.752, -2.418], [-2.142, -7.546, -1.540], [-3.338, 0.650, 1.459]], "species": ["Ni", "Rh", "Rh", "Ni", "Rh", "Rh"], "frac_coords": [[0.000, 0.328, 0.000], [0.500, 0.493, 0.500], [0.000, 0.667, 0.000], [0.000, 0.005, 0.000], [0.500, 0.840, 0.500], [0.500, 0.167, 0.500]], "final_energy_ev_per_atom": -6.7840, "formation_energy_ev_per_atom": 0.044, "relative_energy_mev_per_atom": 4.5, "vol_a3_per_atom": 13.270}

{"formula": "Fe2Sb", "functional": "PBE", "state": "relaxed", "lattice_angstrom": [[6.083, 0.000, 0.000], [0.000, 6.083, 0.000], [0.000, 0.000, 6.083]], "species": ["Sb", "Sb", "Fe", "Fe", "Sb", "Fe", "Fe", "Fe", "Fe", "Sb", "Fe", "Fe"], "frac_coords": [[0.500, 0.000, 0.500], [0.000, 0.000, 0.000], [0.393, 0.107, 0.107], [0.893, 0.393, 0.893], [0.500, 0.500, 0.000], [0.393, 0.393, 0.607], [0.107, 0.607, 0.107], [0.607, 0.607, 0.393], [0.607, 0.893, 0.893], [0.000, 0.500, 0.500], [0.107, 0.893, 0.607], [0.893, 0.107, 0.393]], "final_energy_ev_per_atom": -6.2412, "e_form_raw_ev_per_atom": 0.775, "vol_a3_per_atom": 18.759}

{"formula": "Dy4Ho3Sc2", "functional": "PBE", "state": "relaxed", "lattice_angstrom": [[5.880, 0.067, 0.458], [0.595, 9.176, 3.557], [0.212, -0.194, 9.855]], "species": ["Dy", "Dy", "Sc", "Sc", "Dy", "Ho", "Ho", "Dy", "Sc", "Dy", "Dy", "Ho", "Dy", "Dy", "Ho", "Ho", "Ho", "Sc"], "frac_coords": [[0.894, 0.385, 0.173], [0.106, 0.615, 0.827], [0.298, 0.514, 0.287], [0.798, 0.287, 0.514], [0.394, 0.173, 0.385], [0.921, 0.016, 0.324], [0.079, 0.984, 0.676], [0.954, 0.179, 0.951], [0.702, 0.486, 0.713], [0.046, 0.821, 0.049], [0.546, 0.049, 0.821], [0.421, 0.324, 0.016], [0.454, 0.951, 0.179], [0.606, 0.827, 0.615], [0.579, 0.676, 0.984], [0.750, 0.643, 0.357], [0.250, 0.357, 0.643], [0.202, 0.713, 0.486]], "final_energy_ev_per_atom": -4.8724, "formation_energy_ev_per_atom": 0.106, "relative_energy_mev_per_atom": 9.9, "vol_a3_per_atom": 29.695}

{"formula": "YRh2WAu", "functional": "PBE", "state": "relaxed", "lattice_angstrom": [[-1.129, 3.150, -3.249], [2.084, -3.231, -3.857], [-4.158, -2.043, -0.536]], "species": ["W", "Rh", "Au", "Rh", "Y"], "frac_coords": [[0.000, 0.000, 0.000], [0.500, 0.000, 0.000], [0.500, 0.500, 0.500], [0.000, 0.000, 0.500], [0.000, 0.500, 0.000]], "final_energy_ev_per_atom": -6.6975, "formation_energy_ev_per_atom": 0.782, "vol_a3_per_atom": 23.692}

{"formula": "TaAl2SnP", "functional": "PBE", "state": "relaxed", "lattice_angstrom": [[5.070, 0.000, 0.000], [0.000, 5.339, 0.000], [0.000, 0.000, 5.070]], "species": ["Sn", "Al", "P", "Al", "Ta"], "frac_coords": [[0.000, 0.500, 0.000], [0.500, 0.000, 0.000], [0.500, 0.500, 0.500], [0.000, 0.000, 0.500], [0.000, 0.000, 0.000]], "final_energy_ev_per_atom": -4.5934, "formation_energy_ev_per_atom": 1.157, "vol_a3_per_atom": 27.453}

{"formula": "BI2OF", "functional": "PBE", "state": "relaxed", "lattice_angstrom": [[-1.999, 2.798, -3.697], [-1.992, -4.154, -2.067], [-3.295, 0.504, 2.163]], "species": ["O", "I", "F", "B", "I"], "frac_coords": [[0.000, 0.000, 0.500], [0.000, 0.500, 0.000], [0.000, 0.000, 0.000], [0.500, 0.500, 0.500], [0.500, 0.000, 0.000]], "final_energy_ev_per_atom": -1.9621, "relative_energy_mev_per_atom": 1668.5, "e_form_raw_ev_per_atom": 1.359, "vol_a3_per_atom": 20.262}

{"formula": "Tb2Mg17", "functional": "PBE", "state": "relaxed", "lattice_angstrom": [[-7.686, 0.988, 0.706], [-2.197, -4.226, -6.154], [-1.595, -6.624, 3.759]], "species": ["Mg", "Mg", "Mg", "Mg", "Mg", "Mg", "Mg", "Mg", "Mg", "Mg", "Mg", "Mg", "Mg", "Mg", "Mg", "Tb", "Mg", "Tb", "Mg"], "frac_coords": [[0.901, 0.901, 0.901], [0.353, 0.353, 0.840], [0.500, 0.000, 0.000], [0.647, 0.160, 0.647], [0.353, 0.840, 0.353], [0.000, 0.696, 0.304], [0.304, 0.000, 0.696], [0.099, 0.099, 0.099], [0.160, 0.647, 0.647], [0.304, 0.696, 0.000], [0.696, 0.304, 0.000], [0.000, 0.500, 0.000], [0.000, 0.304, 0.696], [0.840, 0.353, 0.353], [0.696, 0.000, 0.304], [0.672, 0.672, 0.672], [0.000, 0.000, 0.500], [0.328, 0.328, 0.328], [0.647, 0.647, 0.160]], "final_energy_ev_per_atom": -1.9338, "formation_energy_ev_per_atom": -0.020, "vol_a3_per_atom": 24.144}

{"formula": "TbEr2Cu", "functional": "PBE", "state": "relaxed", "lattice_angstrom": [[-3.128, 1.493, -1.065], [-3.115, -1.799, 0.454], [-3.125, 3.894, 8.464]], "species": ["Er", "Er", "Cu", "Tb"], "frac_coords": [[0.067, 0.067, 0.799], [0.266, 0.266, 0.201], [0.666, 0.666, 0.002], [0.501, 0.501, 0.498]], "final_energy_ev_per_atom": -4.4425, "formation_energy_ev_per_atom": 0.021, "relative_energy_mev_per_atom": 133.7, "vol_a3_per_atom": 27.325}

{"formula": "Ba3SiBr", "functional": "PBE", "state": "relaxed", "lattice_angstrom": [[9.284, -0.174, 0.321], [0.189, 9.324, 1.203], [-0.292, -1.493, 9.279]], "species": ["Si", "Si", "Ba", "Si", "Ba", "Ba", "Ba", "Ba", "Ba", "Ba", "Ba", "Ba", "Ba", "Si", "Br", "Br", "Br", "Ba", "Br", "Ba"], "frac_coords": [[0.631, 0.140, 0.258], [0.131, 0.258, 0.140], [0.316, 0.056, 0.423], [0.369, 0.860, 0.742], [0.816, 0.423, 0.056], [0.437, 0.182, 0.955], [0.563, 0.818, 0.045], [0.184, 0.577, 0.944], [0.909, 0.291, 0.427], [0.591, 0.573, 0.709], [0.063, 0.045, 0.818], [0.091, 0.709, 0.573], [0.684, 0.944, 0.577], [0.869, 0.742, 0.860], [0.750, 0.630, 0.370], [0.250, 0.370, 0.630], [0.250, 0.753, 0.247], [0.409, 0.427, 0.291], [0.750, 0.247, 0.753], [0.937, 0.955, 0.182]], "final_energy_ev_per_atom": -3.3690, "relative_energy_mev_per_atom": 0.0, "e_form_raw_ev_per_atom": -0.796, "vol_a3_per_atom": 41.053}

{"formula": "NdTm3Se4", "functional": "PBE", "state": "relaxed", "lattice_angstrom": [[3.996, 0.000, 0.000], [0.000, 6.737, -2.245], [0.000, -0.007, 7.101]], "species": ["Se", "Se", "Tm", "Se", "Tm", "Tm", "Nd", "Se"], "frac_coords": [[0.000, 0.737, 0.737], [0.500, 0.744, 0.256], [0.000, 0.000, 0.500], [0.000, 0.263, 0.263], [0.000, 0.500, 0.000], [0.500, 0.500, 0.500], [0.500, 0.000, 0.000], [0.500, 0.256, 0.744]], "final_energy_ev_per_atom": -5.7122, "relative_energy_mev_per_atom": 0.0, "e_form_raw_ev_per_atom": -1.697, "vol_a3_per_atom": 23.888}

{"formula": "LiPrAs2Pd", "functional": "PBE", "state": "relaxed", "lattice_angstrom": [[4.170, 0.000, 0.000], [0.000, 4.170, 0.000], [-2.085, -2.085, 5.550]], "species": ["Li", "Pr", "As", "As", "Pd"], "frac_coords": [[0.250, 0.750, 0.500], [0.000, 0.000, 0.000], [0.382, 0.382, 0.764], [0.618, 0.618, 0.236], [0.750, 0.250, 0.500]], "final_energy_ev_per_atom": -5.1659, "formation_energy_ev_per_atom": -0.929, "vol_a3_per_atom": 19.302}